# 1
# CsMnCl2

A geometry-optimized CsMnCl2 structure (GGA-PBEsol, Alexandria).

Properties
The density of states at the Fermi level is 9.9 states/eV per cell. The formation energy from raw total energies comes out at -831 meV per atom. As for the crystal system: tetragonal.

Lattice parameters (Å, degrees): 6.322 6.322 13.084 90.00 90.00 90.00
Space group I-42d (No. 122)
Symmetry-distinct sites (fractional):
Cs 0.000 0.000 0.000 x4
Mn 0.000 0.000 0.500 x4
Cl 0.107 0.250 0.625 x8

=====

# 2
# Dy2Ga3Fe14C2

A geometry-optimized Dy2Ga3Fe14C2 structure (GGA-PBEsol, Alexandria).

Properties
The density of states at the Fermi level is 36.9 states/eV per cell. As for the crystal system: monoclinic. The energy relative to the elements is -0.17 eV per atom.

Lattice parameters (Å, degrees): 9.565 8.389 6.398 90.00 98.94 90.00
Space group C2/m (No. 12)
Symmetry-distinct sites (fractional):
Dy 0.153 0.000 0.336 x4
Ga 0.000 0.500 0.500 x2
Ga 0.250 0.250 0.000 x4
Fe 0.000 0.202 0.000 x4
Fe 0.091 0.500 0.905 x4
Fe 0.099 0.248 0.654 x8
Fe 0.140 0.357 0.283 x8
Fe 0.154 0.000 0.845 x4
C 0.250 0.250 0.500 x4

=====

# 3
# Sr2TlFe

A geometry-optimized Sr2TlFe structure (GGA-PBEsol, Alexandria).

Properties
The density of states at the Fermi level is 25.6 states/eV per cell. As for the crystal system: cubic. The energy relative to the elements is 0.39 eV per atom.

Lattice parameters (Å, degrees): 7.453 7.453 7.453 90.00 90.00 90.00
Space group F-43m (No. 216)
Symmetry-distinct sites (fractional):
Sr 0.000 0.000 0.000 x4
Sr 0.250 0.250 0.250 x4
Tl 0.000 0.000 0.500 x4
Fe 0.250 0.250 0.750 x4

=====

# 4
# CaBeBr2

A geometry-optimized CaBeBr2 structure (GGA-PBEsol, Alexandria).

Properties
The density of states at the Fermi level is 0.5 states/eV per cell. The formation energy from raw total energies comes out at -486 meV per atom. As for the crystal system: tetragonal. Its offset from the most stable computed form is 0.028 eV per atom.

Lattice parameters (Å, degrees): 4.794 4.794 3.919 90.00 90.00 90.00
Space group P4/mmm (No. 123)
Symmetry-distinct sites (fractional):
Ca 0.000 0.000 0.000 x1
Be 0.500 0.500 0.000 x1
Br 0.000 0.500 0.500 x2